Run one
A geometry-optimized YMnGe2Rh structure. Source: Alexandria, functional PBE.

Geometry as POSCAR:
```
YMnGe2Rh
1.0
4.0642 0.0000 0.0000
0.0000 4.0642 0.0000
-2.0321 -2.0321 5.3284
Y Mn Ge Rh
1 1 2 1
direct
0.0000 0.0000 0.0000
0.7500 0.2500 0.5000
0.6169 0.6169 0.2337
0.3831 0.3831 0.7663
0.2500 0.7500 0.5000
```

Run two
A geometry-optimized YMnGe2Rh structure. Source: Alexandria, functional PBE.

Geometry as POSCAR:
```
YMnGe2Rh
1.0
-1.3739 5.0976 -0.1237
-4.6595 -1.2446 0.4625
0.4548 0.2502 5.2553
Y Ge Mn Rh
1 2 1 1
direct
0.0000 0.0000 0.0000
0.0000 0.0000 0.5000
0.5000 0.0000 0.0000
0.5000 0.5000 0.5000
0.0000 0.5000 0.0000
```

Looking at the structures above, which would you pick as the most stable? I would pick run one.